{"formula": "Cs4V3AgF12", "functional": "PBE+U", "state": "relaxed", "vol_a3_per_atom": 17.35, "total_energy_ev_per_atom": -5.132, "lattice_angstrom": [[-7.3940, -2.0289, 0.0330], [3.4304, -2.9439, -6.1931], [3.4120, -2.6729, 6.3248]], "species": ["F", "Cs", "Ag", "V", "Cs", "F", "F", "V", "F", "F", "F", "F", "F", "F", "F", "V", "F", "F", "Cs", "Cs"], "frac_coords": [[0.0000, 0.7252, 0.7252], [0.0000, 0.0000, 0.5000], [0.0000, 0.0000, 0.0000], [0.5000, 0.5000, 0.0000], [0.5000, 0.0000, 0.0000], [0.5000, 0.7500, 0.2500], [0.0000, 0.2748, 0.2748], [0.5000, 0.0000, 0.5000], [0.2500, 0.7500, 0.5000], [0.2748, 0.0000, 0.2748], [0.7252, 0.0000, 0.7252], [0.5000, 0.2500, 0.7500], [0.7500, 0.5000, 0.2500], [0.7252, 0.7252, 0.0000], [0.7500, 0.2500, 0.5000], [0.0000, 0.5000, 0.5000], [0.2748, 0.2748, 0.0000], [0.2500, 0.5000, 0.7500], [0.5000, 0.5000, 0.5000], [0.0000, 0.5000, 0.0000]]}